No. 1
Density functional theory data (PBE) for a relaxed structure of Ag2AsPt.

abc: 5.186 5.186 2.889
angles: 90.00 90.00 116.59
Positions (direct):
1 Ag 0.000 0.000 0.000
2 Ag 0.500 0.500 0.000
3 Pt 0.000 0.500 0.500
4 As 0.500 0.000 0.500

Output
The value obtained for the formation energy is 0.10 eV/atom.

=====

No. 2
Density functional theory data (PBE) for a relaxed structure of CeCoTe.

abc: 4.045 4.045 10.523
angles: 101.08 101.08 90.00
Positions (direct):
1 Ce 0.842 0.842 0.684
2 Ce 0.158 0.158 0.316
3 Co 0.263 0.263 0.527
4 Co 0.737 0.737 0.473
5 Te 0.407 0.407 0.813
6 Te 0.593 0.593 0.187

Output
Its formation energy without anion corrections is -0.52 eV per atom.